First-principles (PBE) data for crystalline MnGaSiS at its relaxed geometry, as listed in the Alexandria database.

```
MnGaSiS
1.0
2.3562 -5.9636 0.0000
2.3562 5.9636 0.0000
-1.4888 0.0000 2.1951
Mn Ga Si S
1 1 1 1
direct
0.0000 0.0000 0.0000
0.8204 0.1796 0.5000
0.5007 0.4993 0.0000
0.1972 0.8028 0.0000
```

Results
Mass density = 4.97 g cm⁻³
E_tot = -5.575 eV per atom
Energy above the lowest structure with this stoichiometry = 14 meV/atom
M_tot = 0.23 μB per atom
N(E_F) = 2.08 states/eV per cell

First-principles (PBE) data for crystalline TePSeS2 at its relaxed geometry, as listed in the Alexandria database.

```
TePSeS2
1.0
4.7319 0.0000 0.0000
0.0000 4.7319 0.0000
0.0000 0.0000 4.9561
Te P Se S
1 1 1 2
direct
0.0000 0.0000 0.0000
0.5000 0.5000 0.0000
0.5000 0.5000 0.5000
0.0000 0.5000 0.5000
0.5000 0.0000 0.5000
```

Results
Mass density = 4.51 g cm⁻³
E_tot = -3.259 eV per atom
Energy above the lowest structure with this stoichiometry = 0 meV/atom
M_tot = 0.00 μB per atom
N(E_F) = 5.21 states/eV per cell

First-principles (PBE) data for crystalline BeCdPt3 at its relaxed geometry, as listed in the Alexandria database.

```
BeCdPt3
1.0
5.8639 -4.8365 0.0000
5.8639 4.8365 0.0000
-1.6084 0.0000 5.4320
Be Cd Pt
4 4 12
direct
0.0729 0.6959 0.7544
0.3041 0.9271 0.7456
0.6959 0.0729 0.2544
0.9271 0.3041 0.2456
0.2090 0.7910 0.2500
0.4822 0.5178 0.7500
0.5178 0.4822 0.2500
0.7910 0.2090 0.7500
0.1014 0.1439 0.5398
0.1439 0.1014 0.0398
0.1637 0.4778 0.4149
0.1718 0.4445 0.9203
0.4445 0.1718 0.4203
0.4778 0.1637 0.9149
0.5222 0.8363 0.0851
0.5555 0.8282 0.5797
0.8282 0.5555 0.0797
0.8363 0.5222 0.5851
0.8561 0.8986 0.9602
0.8986 0.8561 0.4602
```

Results
Mass density = 15.23 g cm⁻³
E_tot = -4.819 eV per atom
Calculated formation energy = -0.267 eV/atom
Energy above the lowest structure with this stoichiometry = 171 meV/atom
M_tot = 0.00 μB per atom
N(E_F) = 7.94 states/eV per cell

First-principles (PBE) data for crystalline ZnRe2BiO at its relaxed geometry, as listed in the Alexandria database.

```
ZnRe2BiO
1.0
4.6601 0.0000 0.0000
0.0000 4.6601 0.0000
0.0000 0.0000 5.2928
Zn Re Bi O
1 2 1 1
direct
0.0000 0.0000 0.0000
0.0000 0.5000 0.0000
0.5000 0.0000 0.0000
0.0000 0.0000 0.5000
0.5000 0.5000 0.5000
```

Results
Mass density = 9.58 g cm⁻³
E_tot = -4.646 eV per atom
M_tot = 1.15 μB per atom
N(E_F) = 5.55 states/eV per cell

First-principles (PBE) data for crystalline Ca3Tl2Cd5 at its relaxed geometry, as listed in the Alexandria database.

```
Ca3Tl2Cd5
1.0
3.2878 -8.6114 0.0000
3.2878 8.6114 0.0000
0.0000 0.0000 5.2521
Ca Tl Cd
3 2 5
direct
0.0000 0.0000 0.0000
0.3292 0.6708 0.5000
0.6708 0.3292 0.5000
0.1366 0.8634 0.5000
0.8634 0.1366 0.5000
0.2143 0.7857 0.0000
0.2792 0.2792 0.5000
0.5000 0.5000 0.0000
0.7208 0.7208 0.5000
0.7857 0.2143 0.0000
```

Results
Mass density = 6.09 g cm⁻³
E_tot = -1.688 eV per atom
Calculated formation energy = -0.157 eV/atom
M_tot = 0.00 μB per atom
N(E_F) = 6.57 states/eV per cell

First-principles (PBE) data for crystalline CaSbH at its relaxed geometry, as listed in the Alexandria database.

```
CaSbH
1.0
-2.2820 2.2820 3.6771
2.2820 -2.2820 3.6771
2.2820 2.2820 -3.6771
Ca Sb H
1 1 1
direct
0.0000 0.0000 0.0000
0.5502 0.5502 0.0000
0.3147 0.3147 0.0000
```

Results
Mass density = 3.53 g cm⁻³
E_tot = -3.509 eV per atom
Energy above the lowest structure with this stoichiometry = 206 meV/atom
M_tot = 0.00 μB per atom
N(E_F) = 0.01 states/eV per cell

> Which value of M_tot does entry 3 give?

0.00 μB per atom